Computed, not measured: an optimized crystal structure of PmUPt at the PBE level of DFT.

## Properties
D(E_F) ... 5.054 states/eV/f.u.
Calculated volume ... 146.1 Å³/cell

abc: 3.8787 3.8787 10.0912
angles: 101.08 101.08 90.00
Each line ends with the local moment (μB).
Fractional positions:
1 U 0.2749 0.2749 0.5498  0.63
2 U 0.7251 0.7251 0.4502  0.63
3 Pm 0.1008 0.1008 0.2016  0.00
4 Pm 0.8992 0.8992 0.7984  0.00
5 Pt 0.5689 0.5689 0.1378  -0.01
6 Pt 0.4311 0.4311 0.8622  -0.01

---

Computed, not measured: an optimized crystal structure of PmU2Pt9 at the PBE level of DFT.

## Properties
D(E_F) ... 14.241 states/eV/f.u.
Calculated volume ... 216.7 Å³/cell

abc: 4.1666 4.1666 12.4819
angles: 90.00 90.00 90.00
Each line ends with the local moment (μB).
Fractional positions:
1 Pm 0.0000 0.0000 0.0000  0.00
2 U 0.0000 0.0000 0.3330  1.64
3 U 0.0000 0.0000 0.6670  1.64
4 Pt 0.5000 0.5000 0.0000  -0.01
5 Pt 0.5000 0.5000 0.3349  -0.02
6 Pt 0.5000 0.5000 0.6651  -0.02
7 Pt 0.5000 0.0000 0.1719  -0.01
8 Pt 0.5000 0.0000 0.5000  -0.02
9 Pt 0.5000 0.0000 0.8281  -0.01
10 Pt 0.0000 0.5000 0.1719  -0.01
11 Pt 0.0000 0.5000 0.5000  -0.02
12 Pt 0.0000 0.5000 0.8281  -0.01

---

Computed, not measured: an optimized crystal structure of PmUPt6 at the PBE level of DFT.

## Properties
D(E_F) ... 7.966 states/eV/f.u.
Calculated volume ... 144.7 Å³/cell

abc: 4.1696 4.1696 8.3215
angles: 90.00 90.00 90.00
Each line ends with the local moment (μB).
Fractional positions:
1 Pm 0.0000 0.0000 0.0000  0.00
2 U 0.0000 0.0000 0.5000  1.33
3 Pt 0.5000 0.5000 0.0000  -0.01
4 Pt 0.5000 0.5000 0.5000  -0.03
5 Pt 0.5000 0.0000 0.2585  -0.01
6 Pt 0.5000 0.0000 0.7415  -0.01
7 Pt 0.0000 0.5000 0.2585  -0.01
8 Pt 0.0000 0.5000 0.7415  -0.01

---

Computed, not measured: an optimized crystal structure of Pm4Y3Pt4 at the PBE level of DFT.

## Properties
D(E_F) ... 9.828 states/eV/f.u.
Calculated volume ... 286.7 Å³/cell

abc: 3.8754 8.9167 9.6156
angles: 117.62 101.63 90.00
Fractional positions:
1 Pm 0.3355 0.1486 0.6709
2 Pm 0.6645 0.4777 0.3291
3 Pm 0.6645 0.8514 0.3291
4 Pm 0.3355 0.5223 0.6709
5 Y 0.0986 0.0986 0.1971
6 Y 0.9014 0.9014 0.8029
7 Y 0.0000 0.5000 0.0000
8 Pt 0.2584 0.7584 0.5168
9 Pt 0.7416 0.2416 0.4832
10 Pt 0.5000 0.8041 0.0000
11 Pt 0.5000 0.1959 0.0000

---

no.,energy relative to the elements (eV/atom)
1,-0.3027
2,-0.8121
3,-0.8569
4,-0.8201